1.
Compound: SbIN2O
Source: Alexandria via LeMat-Bulk
Functional: PBE-GGA
Structure: relaxed

The space group is P4/mmm (No. 123) and the conventional cell measures 4.258, 4.258 and 4.017 Å, with angles of 90.00, 90.00 and 90.00 degrees. The asymmetric unit holds Sb at (0.000, 0.000, 0.000), I at (0.500, 0.500, 0.500), N at (0.000, 0.500, 0.500) and O at (0.500, 0.500, 0.000).

The calculation puts the raw formation energy at 1.33 eV/atom. For the density of states at the Fermi level, the calculation gives 1.0 states/eV/cell.

=====

2.
Compound: ScINO2
Source: Alexandria via LeMat-Bulk
Functional: PBE-GGA
Structure: relaxed

The space group is P4/mmm (No. 123) and the conventional cell measures 4.204, 4.204 and 4.151 Å, with angles of 90.00, 90.00 and 90.00 degrees. The asymmetric unit holds Sc at (0.000, 0.000, 0.000), I at (0.500, 0.500, 0.500), N at (0.500, 0.500, 0.000) and O at (0.000, 0.500, 0.500).

The calculation puts the raw formation energy at 0.13 eV/atom. For the density of states at the Fermi level, the calculation gives 3.2 states/eV/cell.

=====

3.
Compound: ScINO2
Source: Alexandria via LeMat-Bulk
Functional: PBE-GGA
Structure: relaxed

The space group is P4/mmm (No. 123) and the conventional cell measures 3.902, 3.902 and 6.756 Å, with angles of 90.00, 90.00 and 90.00 degrees. The asymmetric unit holds Sc at (0.000, 0.000, 0.000), I at (0.000, 0.000, 0.500), N at (0.500, 0.500, 0.500) and O at (0.000, 0.500, 0.000).

The calculation puts the raw formation energy at -0.24 eV/atom. For the density of states at the Fermi level, the calculation gives 4.4 states/eV/cell.

=====

4.
Compound: ScINO2
Source: Alexandria via LeMat-Bulk
Functional: PBE-GGA
Structure: relaxed

The space group is P4/mmm (No. 123) and the conventional cell measures 4.065, 4.065 and 4.156 Å, with angles of 90.00, 90.00 and 90.00 degrees. The asymmetric unit holds Sc at (0.000, 0.000, 0.000), I at (0.500, 0.500, 0.000), N at (0.500, 0.500, 0.500) and O at (0.000, 0.500, 0.500).

The calculation puts the raw formation energy at 0.40 eV/atom. For the density of states at the Fermi level, the calculation gives 1.1 states/eV/cell.

=====

5.
Compound: ScINO2
Source: Alexandria via LeMat-Bulk
Functional: PBE-GGA
Structure: relaxed

The space group is P4/mmm (No. 123) and the conventional cell measures 4.029, 4.029 and 4.466 Å, with angles of 90.00, 90.00 and 90.00 degrees. The asymmetric unit holds Sc at (0.000, 0.000, 0.000), I at (0.500, 0.500, 0.500), N at (0.000, 0.000, 0.500) and O at (0.000, 0.500, 0.000).

The calculation puts the raw formation energy at -0.36 eV/atom. For the density of states at the Fermi level, the calculation gives 4.6 states/eV/cell.

=====

6.
Compound: Sm2INO
Source: Alexandria via LeMat-Bulk
Functional: PBE-GGA
Structure: relaxed

The space group is C2/m (No. 12) and the conventional cell measures 13.016, 3.987 and 9.922 Å, with angles of 90.00, 118.57 and 90.00 degrees. The asymmetric unit holds Sm at (0.022, 0.000, 0.280), Sm at (0.149, 0.500, 0.043), I at (0.168, 0.500, 0.622), N at (0.040, 0.500, 0.177) and O at (0.154, 0.000, 0.931).

The calculation puts the raw formation energy at -2.15 eV/atom. For the density of states at the Fermi level, the calculation gives 0.0 states/eV/cell.

=====

7.
Compound: SnINO2
Source: Alexandria via LeMat-Bulk
Functional: PBE-GGA
Structure: relaxed

The space group is P4/mmm (No. 123) and the conventional cell measures 3.873, 3.873 and 6.821 Å, with angles of 90.00, 90.00 and 90.00 degrees. The asymmetric unit holds Sn at (0.000, 0.000, 0.000), I at (0.000, 0.000, 0.500), N at (0.500, 0.500, 0.500) and O at (0.000, 0.500, 0.000).

The calculation puts the raw formation energy at 0.44 eV/atom. For the density of states at the Fermi level, the calculation gives 2.1 states/eV/cell.

=====

8.
Compound: SnINO2
Source: Alexandria via LeMat-Bulk
Functional: PBE-GGA
Structure: relaxed

The space group is P4/mmm (No. 123) and the conventional cell measures 4.276, 4.276 and 4.158 Å, with angles of 90.00, 90.00 and 90.00 degrees. The asymmetric unit holds Sn at (0.000, 0.000, 0.000), I at (0.500, 0.500, 0.000), N at (0.500, 0.500, 0.500) and O at (0.000, 0.500, 0.500).

The calculation puts the raw formation energy at 1.01 eV/atom. For the density of states at the Fermi level, the calculation gives 2.9 states/eV/cell.